Entry 1:
## Zr7Hg4N (PBE)

Data for a geometry-optimized Zr7Hg4N structure.

## Properties
Uncorrected formation energy = -20.7 kJ/mol of atoms

Lattice parameters (Å, degrees): 10.612 4.187 11.753 90.00 94.60 90.00
Space group Cm (No. 8)
Asymmetric unit:
Zr  0.000  0.000  0.000
Zr  0.005  0.000  0.286
Zr  0.174  0.500  0.900
Zr  0.255  0.500  0.647
Zr  0.306  0.000  0.111
Zr  0.361  0.000  0.829
Zr  0.428  0.000  0.515
Hg  0.031  0.000  0.725
Hg  0.111  0.500  0.153
Hg  0.134  0.000  0.504
Hg  0.258  0.500  0.372
N  0.204  0.000  0.949

Entry 2:
## Mg2BrOF (PBE)

Data for a geometry-optimized Mg2BrOF structure.

## Properties
Uncorrected formation energy = -14.4 kJ/mol of atoms

Lattice parameters (Å, degrees): 4.971 4.971 4.413 90.00 90.00 90.00
Space group P4/mmm (No. 123)
Asymmetric unit:
Mg  0.000  0.500  0.000
Br  0.000  0.000  0.000
O  0.500  0.500  0.500
F  0.000  0.000  0.500

Entry 3:
## Sr2Cu3I2O4 (PBE)

Data for a geometry-optimized Sr2Cu3I2O4 structure.

## Properties
Uncorrected formation energy = -90.8 kJ/mol of atoms

Lattice parameters (Å, degrees): 5.673 5.673 17.601 90.00 90.00 90.00
Space group I4/mmm (No. 139)
Asymmetric unit:
Sr  0.000  0.000  0.148
Cu  0.000  0.000  0.000
Cu  0.000  0.500  0.000
I  0.000  0.500  0.250
O  0.229  0.229  0.000

Entry 4:
## LiBi3O (PBE)

Data for a geometry-optimized LiBi3O structure.

## Properties
Uncorrected formation energy = 57.1 kJ/mol of atoms
Relative energy among the computed polymorphs = 0.831 eV per atom

Lattice parameters (Å, degrees): 5.026 5.026 5.026 90.00 90.00 90.00
Space group Pm-3m (No. 221)
Asymmetric unit:
Li  0.000  0.000  0.000
Bi  0.000  0.000  0.500
O  0.500  0.500  0.500

Entry 5:
## ZnPd7Pt4 (PBE)

Data for a geometry-optimized ZnPd7Pt4 structure.

## Properties
Calculated formation energy = -0.025 eV per atom

Lattice parameters (Å, degrees): 4.837 5.382 7.566 105.32 90.15 93.72
Space group P-1 (No. 2)
Asymmetric unit:
Zn  0.000  0.000  0.000
Pd  0.235  0.718  0.415
Pd  0.252  0.472  0.067
Pd  0.256  0.196  0.354
Pd  0.500  0.000  0.000
Pt  0.235  0.609  0.741
Pt  0.258  0.115  0.712

Entry 6:
## FeSn6Sb (PBE)

Data for a geometry-optimized FeSn6Sb structure.

## Properties
Uncorrected formation energy = 11.8 kJ/mol of atoms

Lattice parameters (Å, degrees): 13.937 9.525 9.739 90.00 134.18 90.00
Space group C2/m (No. 12)
Asymmetric unit:
Fe  0.250  0.250  0.000
Sn  0.032  0.161  0.681
Sn  0.105  0.500  0.473
Sn  0.145  0.340  0.114
Sn  0.208  0.500  0.868
Sb  0.250  0.250  0.500

Entry 7:
## Ba2V2Bi (PBE)

Data for a geometry-optimized Ba2V2Bi structure.

## Properties
Calculated formation energy = 0.324 eV per atom
Relative energy among the computed polymorphs = 0.000 eV per atom

Lattice parameters (Å, degrees): 7.647 7.647 5.279 90.00 90.00 90.00
Space group P4/mbm (No. 127)
Asymmetric unit:
Ba  0.203  0.297  0.000
V  0.084  0.584  0.500
Bi  0.000  0.000  0.500

Entry 8:
## BaPdSe2N (PBE)

Data for a geometry-optimized BaPdSe2N structure.

## Properties
Uncorrected formation energy = -22.1 kJ/mol of atoms
Relative energy among the computed polymorphs = 0.000 eV per atom

Lattice parameters (Å, degrees): 5.435 5.435 3.866 90.00 90.00 90.00
Space group P4/mmm (No. 123)
Asymmetric unit:
Ba  0.000  0.000  0.000
Pd  0.500  0.500  0.500
Se  0.000  0.500  0.500
N  0.500  0.500  0.000